# PBE RbNaH2Pd, optimized geometry
# - electronic total energy (eV per atom) = -3.0412
data_RbNaH2Pd
_chemical_formula_sum 'Rb2 Na2 H4 Pd2'
_symmetry_space_group_name_H-M 'I 4 m m'
_symmetry_Int_Tables_number 107
_symmetry_space_group_name_Hall 'I 4 -2'
_cell_length_a 3.8616
_cell_length_b 3.8616
_cell_length_c 13.1770
_cell_angle_alpha 90.00
_cell_angle_beta 90.00
_cell_angle_gamma 90.00
loop_
_atom_site_label
_atom_site_fract_x
_atom_site_fract_y
_atom_site_fract_z
Rb1 0.0000 0.0000 0.0000
Na1 0.0000 0.0000 0.7436
H1 0.0000 0.0000 0.2074
H2 0.0000 0.0000 0.4651
Pd1 0.0000 0.0000 0.3347